(i)
# Na3VCr

A relaxed structure of Na3VCr (GGA-PBE, the Alexandria database).

Cell lengths 5.6958, 5.6958, 5.6958 Å; angles 90.00, 90.00, 90.00 degrees
Closest atoms and distances in Å follow each position.
Sites, in units of the cell vectors:
1 Na 0.0000 0.0000 0.5000  2 V 2.85
2 Na 0.0000 0.5000 0.0000  2 V 2.85
3 Na 0.5000 0.0000 0.0000  2 V 2.85
4 V 0.0000 0.0000 0.0000  6 Na 2.85
5 Cr 0.5000 0.5000 0.5000  12 Na 4.03

Properties
* mass density: 1.5 Mg/m³
* DOS at the Fermi energy: 8.60 states/eV/cell



(ii)
# Na3VCr

A relaxed structure of Na3VCr (GGA-PBE, the Alexandria database).

Cell lengths 5.6396, 5.6396, 5.6396 Å; angles 90.00, 90.00, 90.00 degrees
Closest atoms and distances in Å follow each position.
Sites, in units of the cell vectors:
1 Na 0.0000 0.0000 0.5000  2 Cr 2.82
2 Na 0.0000 0.5000 0.0000  2 Cr 2.82
3 Na 0.5000 0.0000 0.0000  2 Cr 2.82
4 V 0.5000 0.5000 0.5000  12 Na 3.99
5 Cr 0.0000 0.0000 0.0000  6 Na 2.82

Properties
* mass density: 1.6 Mg/m³
* DOS at the Fermi energy: 10.17 states/eV/cell



(ii) is preferred energetically. Next in line: 35 meV per atom higher.



(i)
# Na2VCr

A relaxed structure of Na2VCr (GGA-PBE, the Alexandria database).

Cell lengths 5.1832, 5.1832, 5.1832 Å; angles 60.00, 60.00, 60.00 degrees
Closest atoms and distances in Å follow each position.
Sites, in units of the cell vectors:
1 Na 0.2500 0.2500 0.2500  4 Cr 3.17, 4 V 3.17
2 Na 0.7500 0.7500 0.7500  4 Cr 3.17, 4 V 3.17
3 V 0.0000 0.0000 0.0000  8 Na 3.17
4 Cr 0.5000 0.5000 0.5000  8 Na 3.17

Properties
* mass density: 2.5 Mg/m³
* DOS at the Fermi energy: 6.62 states/eV/cell



(ii)
# Na2VCr

A relaxed structure of Na2VCr (GGA-PBE, the Alexandria database).

Cell lengths 6.4214, 6.4214, 6.4214 Å; angles 99.77, 99.77, 131.35 degrees
Closest atoms and distances in Å follow each position.
Sites, in units of the cell vectors:
1 Na 0.1160 0.6250 0.9910  2 Na 2.65, 2 Cr 2.95
2 Na 0.3750 0.3660 0.4910  2 Na 2.65, 2 Cr 2.95
3 Na 0.6340 0.1250 0.0090  2 Na 2.65, 2 Cr 2.95
4 Na 0.8750 0.8840 0.5090  2 Na 2.65, 2 Cr 2.95
5 V 0.2500 0.7500 0.5000  2 Cr 2.64
6 V 0.5000 0.5000 0.0000  2 Cr 2.64
7 Cr 0.0000 0.0000 0.0000  2 V 2.64, 4 Na 2.95
8 Cr 0.7500 0.2500 0.5000  2 V 2.64, 4 Na 2.95

Properties
* mass density: 2.7 Mg/m³
* DOS at the Fermi energy: 5.33 states/eV/cell



(ii) is preferred energetically. Next in line: 95 meV per atom higher.



(i)
# NaCr2W

A relaxed structure of NaCr2W (GGA-PBE, the Alexandria database).

Cell lengths 5.7795, 5.7795, 5.7795 Å; angles 105.06, 105.06, 118.70 degrees
Closest atoms and distances in Å follow each position.
Sites, in units of the cell vectors:
1 Na 0.0000 0.0000 0.0000  4 Cr 2.75, 2 W 2.95
2 Na 0.7500 0.2500 0.5000  4 Cr 2.75, 2 W 2.95
3 Cr 0.1565 0.6250 0.0315  2 W 2.45
4 Cr 0.3750 0.4065 0.5315  2 W 2.45
5 Cr 0.5935 0.1250 0.9685  2 W 2.45
6 Cr 0.8750 0.8435 0.4685  2 W 2.45
7 W 0.2500 0.7500 0.5000  4 Cr 2.45
8 W 0.5000 0.5000 0.0000  4 Cr 2.45

Properties
* mass density: 7.1 Mg/m³
* DOS at the Fermi energy: 4.73 states/eV/cell



(ii)
# NaCr2W

A relaxed structure of NaCr2W (GGA-PBE, the Alexandria database).

Cell lengths 4.4510, 4.4510, 4.4510 Å; angles 60.00, 60.00, 60.00 degrees
Closest atoms and distances in Å follow each position.
Sites, in units of the cell vectors:
1 Na 0.0000 0.0000 0.0000  8 Cr 2.73
2 Cr 0.2500 0.2500 0.2500  4 W 2.73, 4 Na 2.73
3 Cr 0.7500 0.7500 0.7500  4 W 2.73, 4 Na 2.73
4 W 0.5000 0.5000 0.5000  8 Cr 2.73

Properties
* mass density: 8.3 Mg/m³
* DOS at the Fermi energy: 1.50 states/eV/cell



(ii) is preferred energetically. Next in line: 424 meV per atom higher.



(i)
# NaCrW2

A relaxed structure of NaCrW2 (GGA-PBE, the Alexandria database).

Cell lengths 4.4106, 4.4106, 4.4106 Å; angles 60.00, 60.00, 60.00 degrees
Closest atoms and distances in Å follow each position.
Sites, in units of the cell vectors:
1 Na 0.0000 0.0000 0.0000  8 W 2.70
2 Cr 0.5000 0.5000 0.5000  8 W 2.70
3 W 0.2500 0.2500 0.2500  4 Cr 2.70, 4 Na 2.70
4 W 0.7500 0.7500 0.7500  4 Cr 2.70, 4 Na 2.70

Properties
* mass density: 12.1 Mg/m³
* DOS at the Fermi energy: 4.90 states/eV/cell



(ii)
# NaCrW2

A relaxed structure of NaCrW2 (GGA-PBE, the Alexandria database).

Cell lengths 10.3243, 10.3243, 10.3243 Å; angles 158.85, 158.85, 30.09 degrees
Closest atoms and distances in Å follow each position.
Sites, in units of the cell vectors:
1 Na 0.0000 0.0000 0.0000  4 Cr 2.68, 4 W 2.85
2 Na 0.7500 0.2500 0.5000  4 Cr 2.68, 4 W 2.85
3 Cr 0.2500 0.7500 0.5000  4 Na 2.68, 4 W 2.81
4 Cr 0.5000 0.5000 0.0000  4 Na 2.68, 4 W 2.81
5 W 0.1435 0.6250 0.0185  4 W 2.58-2.78, 2 Cr 2.81, 2 Na 2.85
6 W 0.3750 0.3935 0.5185  4 W 2.58-2.78, 2 Cr 2.81, 2 Na 2.85
7 W 0.6065 0.1250 0.9815  4 W 2.58-2.78, 2 Cr 2.81, 2 Na 2.85
8 W 0.8750 0.8565 0.4815  4 W 2.58-2.78, 2 Cr 2.81, 2 Na 2.85

Properties
* mass density: 10.3 Mg/m³
* DOS at the Fermi energy: 6.19 states/eV/cell



(i) is preferred energetically. Next in line: 250 meV per atom higher.



(i)
# NaCrW3

A relaxed structure of NaCrW3 (GGA-PBE, the Alexandria database).

Cell lengths 4.5872, 4.5872, 4.5872 Å; angles 90.00, 90.00, 90.00 degrees
Closest atoms and distances in Å follow each position.
Sites, in units of the cell vectors:
1 Na 0.0000 0.0000 0.0000  12 W 3.24
2 Cr 0.5000 0.5000 0.5000  6 W 2.29
3 W 0.0000 0.5000 0.5000  2 Cr 2.29
4 W 0.5000 0.0000 0.5000  2 Cr 2.29
5 W 0.5000 0.5000 0.0000  2 Cr 2.29

Properties
* mass density: 10.8 Mg/m³
* DOS at the Fermi energy: 5.38 states/eV/cell



(ii)
# NaCrW3

A relaxed structure of NaCrW3 (GGA-PBE, the Alexandria database).

Cell lengths 4.4485, 4.4485, 4.4485 Å; angles 90.00, 90.00, 90.00 degrees
Closest atoms and distances in Å follow each position.
Sites, in units of the cell vectors:
1 Na 0.0000 0.0000 0.0000  6 W 2.22
2 Cr 0.5000 0.5000 0.5000  12 W 3.15
3 W 0.0000 0.0000 0.5000  2 Na 2.22
4 W 0.0000 0.5000 0.0000  2 Na 2.22
5 W 0.5000 0.0000 0.0000  2 Na 2.22

Properties
* mass density: 11.8 Mg/m³
* DOS at the Fermi energy: 8.22 states/eV/cell



(i) is preferred energetically. Next in line: 1594 meV per atom higher.



(i)
# NaY2Cr

A relaxed structure of NaY2Cr (GGA-PBE, the Alexandria database).

Cell lengths 6.7263, 6.7263, 6.7263 Å; angles 103.89, 103.89, 121.33 degrees
Closest atoms and distances in Å follow each position.
Sites, in units of the cell vectors:
1 Na 0.0000 0.0000 0.0000  4 Y 3.23, 2 Cr 3.30
2 Na 0.7500 0.2500 0.5000  4 Y 3.23, 2 Cr 3.30
3 Y 0.1560 0.6250 0.0310  2 Cr 2.88
4 Y 0.3750 0.4060 0.5310  2 Cr 2.88
5 Y 0.5940 0.1250 0.9690  2 Cr 2.88
6 Y 0.8750 0.8440 0.4690  2 Cr 2.88
7 Cr 0.2500 0.7500 0.5000  4 Y 2.88
8 Cr 0.5000 0.5000 0.0000  4 Y 2.88

Properties
* mass density: 3.7 Mg/m³
* DOS at the Fermi energy: 7.93 states/eV/cell



(ii)
# NaY2Cr

A relaxed structure of NaY2Cr (GGA-PBE, the Alexandria database).

Cell lengths 5.1347, 5.1347, 5.1347 Å; angles 60.00, 60.00, 60.00 degrees
Closest atoms and distances in Å follow each position.
Sites, in units of the cell vectors:
1 Na 0.0000 0.0000 0.0000  8 Y 3.14
2 Y 0.2500 0.2500 0.2500  4 Cr 3.14, 4 Na 3.14
3 Y 0.7500 0.7500 0.7500  4 Cr 3.14, 4 Na 3.14
4 Cr 0.5000 0.5000 0.5000  8 Y 3.14

Properties
* mass density: 4.4 Mg/m³
* DOS at the Fermi energy: 12.64 states/eV/cell



(i) is preferred energetically. Next in line: 11 meV per atom higher.